[1]
Material: NaFeAs2Br
Method: DFT, PBE
State: optimized geometry

Summary:
The value obtained for the density of states at the Fermi level is 4.8 states/eV/f.u. The excess energy over the best structure of this formula in the dataset is 111.4 kJ per mole of atoms. The mass density comes out at 3.80 g cm⁻³.

```
data_NaFeAs2Br
_chemical_formula_sum 'Na1 Fe1 As2 Br1'
_cell_length_a 5.2272
_cell_length_b 5.2272
_cell_length_c 4.9375
_cell_angle_alpha 90.00
_cell_angle_beta 90.00
_cell_angle_gamma 90.00
_symmetry_space_group_name_H-M 'P 4/m m m'
_symmetry_Int_Tables_number 123
_symmetry_space_group_name_Hall '-P 4 2'
loop_
_atom_site_label
_atom_site_fract_x
_atom_site_fract_y
_atom_site_fract_z
Na1 0.0000 0.0000 0.0000
Fe1 0.5000 0.5000 0.0000
As1 0.0000 0.5000 0.5000
Br1 0.0000 0.0000 0.5000
```

[2]
Material: NaFeAs2Br
Method: DFT, PBE
State: optimized geometry

Summary:
The value obtained for the density of states at the Fermi level is 7.5 states/eV/f.u. The excess energy over the best structure of this formula in the dataset is 128.8 kJ per mole of atoms. The mass density comes out at 4.11 g cm⁻³.

```
data_NaFeAs2Br
_chemical_formula_sum 'Na1 Fe1 As2 Br1'
_cell_length_a 4.9546
_cell_length_b 4.9546
_cell_length_c 5.0755
_cell_angle_alpha 90.00
_cell_angle_beta 90.00
_cell_angle_gamma 90.00
_symmetry_space_group_name_H-M 'P 4/m m m'
_symmetry_Int_Tables_number 123
_symmetry_space_group_name_Hall '-P 4 2'
loop_
_atom_site_label
_atom_site_fract_x
_atom_site_fract_y
_atom_site_fract_z
Na1 0.0000 0.0000 0.0000
Fe1 0.5000 0.5000 0.5000
As1 0.0000 0.5000 0.0000
Br1 0.0000 0.0000 0.5000
```

[3]
Material: NbFeAsBr2
Method: DFT, PBE
State: optimized geometry

Summary:
The value obtained for the density of states at the Fermi level is 6.2 states/eV/f.u. The excess energy over the best structure of this formula in the dataset is 20.2 kJ per mole of atoms. The mass density comes out at 5.86 g cm⁻³.

```
data_NbFeAsBr2
_chemical_formula_sum 'Nb1 Fe1 As1 Br2'
_cell_length_a 4.9119
_cell_length_b 4.9119
_cell_length_c 4.5055
_cell_angle_alpha 90.00
_cell_angle_beta 90.00
_cell_angle_gamma 90.00
_symmetry_space_group_name_H-M 'P 4/m m m'
_symmetry_Int_Tables_number 123
_symmetry_space_group_name_Hall '-P 4 2'
loop_
_atom_site_label
_atom_site_fract_x
_atom_site_fract_y
_atom_site_fract_z
Nb1 0.0000 0.0000 0.0000
Fe1 0.5000 0.5000 0.5000
As1 0.5000 0.5000 0.0000
Br1 0.0000 0.5000 0.5000
```

[4]
Material: NbFeAs2Br
Method: DFT, PBE
State: optimized geometry

Summary:
The value obtained for the density of states at the Fermi level is 6.4 states/eV/f.u. The mass density comes out at 4.82 g cm⁻³.

```
data_NbFeAs2Br
_chemical_formula_sum 'Nb1 Fe1 As2 Br1'
_cell_length_a 5.0043
_cell_length_b 5.0043
_cell_length_c 5.2106
_cell_angle_alpha 90.00
_cell_angle_beta 90.00
_cell_angle_gamma 90.00
_symmetry_space_group_name_H-M 'P 4/m m m'
_symmetry_Int_Tables_number 123
_symmetry_space_group_name_Hall '-P 4 2'
loop_
_atom_site_label
_atom_site_fract_x
_atom_site_fract_y
_atom_site_fract_z
Nb1 0.0000 0.0000 0.0000
Fe1 0.5000 0.5000 0.5000
As1 0.0000 0.5000 0.0000
Br1 0.0000 0.0000 0.5000
```

Number 1: spin magnetization 3.5 μB/f.u., E_form (uncorrected) 97 kJ per mole of atoms. Number 2: spin magnetization 3.3 μB/f.u., E_form (uncorrected) 114 kJ per mole of atoms. Number 3: spin magnetization 2.6 μB/f.u., E_form (uncorrected) 77 kJ per mole of atoms. Number 4: spin magnetization 4.0 μB/f.u., E_form (uncorrected) 67 kJ per mole of atoms.